(1)
# Li3Np2CuSe6 PBE relaxed
data_Li3Np2CuSe6
_chemical_formula_sum 'Li6 Np4 Cu2 Se12'
_space_group_name_H-M_alt 'C 1 2/m 1'
_space_group_IT_number 12
_cell_length_a 6.855
_cell_length_b 11.873
_cell_length_c 6.845
_cell_angle_alpha 90.00
_cell_angle_beta 109.43
_cell_angle_gamma 90.00
loop_
_space_group_symop_operation_xyz
'x,y,z'
'-x,-y,-z'
'-x,y,-z'
'x,-y,z'
'x+1/2,y+1/2,z'
'-x+1/2,-y+1/2,-z'
'-x+1/2,y+1/2,-z'
'x+1/2,-y+1/2,z'
loop_
_atom_site_label
_atom_site_type_symbol
_atom_site_fract_x
_atom_site_fract_y
_atom_site_fract_z
_atom_site_occupancy
Li1 Li 0.000 0.000 0.000 1
Li2 Li 0.000 0.333 0.000 1
Np1 Np 0.000 0.167 0.500 1
Cu1 Cu 0.000 0.500 0.500 1
Se1 Se 0.244 0.500 0.251 1
Se2 Se 0.246 0.337 0.749 1
# - formation energy without anion corrections (eV per atom) = -1.0001
# - raw total energy (eV/atom) = -5.719
# - M_tot (μB per cell) = 12.00
# - N(E_F) (states/eV/cell) = 25.913



(2)
# DyAg3Hg PBE relaxed
data_DyAg3Hg
_chemical_formula_sum 'Dy4 Ag12 Hg4'
_space_group_name_H-M_alt 'C m m m'
_space_group_IT_number 65
_space_group_name_Hall '-C 2 2'
_cell_length_a 4.751
_cell_length_b 28.951
_cell_length_c 3.244
_cell_angle_alpha 90.00
_cell_angle_beta 90.00
_cell_angle_gamma 90.00
loop_
_atom_site_label
_atom_site_type_symbol
_atom_site_fract_x
_atom_site_fract_y
_atom_site_fract_z
_atom_site_occupancy
Dy1 Dy 0.000 0.178 0.000 1
Ag1 Ag 0.000 0.069 0.500 1
Ag2 Ag 0.000 0.274 0.500 1
Ag3 Ag 0.000 0.454 0.000 1
Hg1 Hg 0.000 0.372 0.500 1
# - raw total energy (eV/atom) = -2.758
# - M_tot (μB per cell) = 0.00
# - formation enthalpy at 0 K (meV per atom) = -67
# - N(E_F) (states/eV/cell) = 11.275



(3)
# CdAg2CO4 PBE relaxed
data_CdAg2CO4
_chemical_formula_sum 'Cd4 Ag8 C4 O16'
_space_group_name_H-M_alt 'C 1 2/c 1'
_space_group_IT_number 15
_cell_length_a 12.376
_cell_length_b 7.073
_cell_length_c 8.629
_cell_angle_alpha 90.00
_cell_angle_beta 132.74
_cell_angle_gamma 90.00
loop_
_space_group_symop_operation_xyz
'x,y,z'
'-x,-y,-z'
'-x,y,-z+1/2'
'x,-y,z+1/2'
'x+1/2,y+1/2,z'
'-x+1/2,-y+1/2,-z'
'-x+1/2,y+1/2,-z+1/2'
'x+1/2,-y+1/2,z+1/2'
loop_
_atom_site_label
_atom_site_type_symbol
_atom_site_fract_x
_atom_site_fract_y
_atom_site_fract_z
_atom_site_occupancy
Cd1 Cd 0.250 0.250 0.000 1
Ag1 Ag 0.000 0.000 0.000 1
Ag2 Ag 0.250 0.250 0.500 1
C1 C 0.000 0.500 0.000 1
O1 O 0.023 0.386 0.926 1
O2 O 0.205 0.003 0.077 1
# - formation energy without anion corrections (eV per atom) = -0.5520
# - raw total energy (eV/atom) = -5.011
# - M_tot (μB per cell) = 0.00



(4)
# Pd13Rh2 PBE relaxed
data_Pd13Rh2
_chemical_formula_sum 'Pd13 Rh2'
_space_group_name_H-M_alt 'P -1'
_space_group_IT_number 2
_cell_length_a 4.822
_cell_length_b 6.211
_cell_length_c 8.356
_cell_angle_alpha 102.89
_cell_angle_beta 106.63
_cell_angle_gamma 97.31
loop_
_space_group_symop_operation_xyz
'x,y,z'
'-x,-y,-z'
loop_
_atom_site_label
_atom_site_type_symbol
_atom_site_fract_x
_atom_site_fract_y
_atom_site_fract_z
_atom_site_occupancy
Pd1 Pd 0.000 0.000 0.000 1
Pd2 Pd 0.004 0.002 0.335 1
Pd3 Pd 0.198 0.401 0.599 1
Pd4 Pd 0.200 0.401 0.934 1
Pd5 Pd 0.207 0.403 0.270 1
Pd6 Pd 0.397 0.800 0.864 1
Pd7 Pd 0.403 0.802 0.203 1
Rh1 Rh 0.401 0.805 0.533 1
# - raw total energy (eV/atom) = -5.441
# - M_tot (μB per cell) = 6.60
# - formation enthalpy at 0 K (meV per atom) = 40
# - N(E_F) (states/eV/cell) = 28.306



(5)
# LiCd2Ir PBE relaxed
data_LiCd2Ir
_chemical_formula_sum 'Li1 Cd2 Ir1'
_space_group_name_H-M_alt 'P m m 2'
_space_group_IT_number 25
_cell_length_a 2.905
_cell_length_b 4.207
_cell_length_c 5.696
_cell_angle_alpha 90.00
_cell_angle_beta 90.00
_cell_angle_gamma 90.00
loop_
_space_group_symop_operation_xyz
'x,y,z'
'-x,-y,z'
'-x,y,z'
'x,-y,z'
loop_
_atom_site_label
_atom_site_type_symbol
_atom_site_fract_x
_atom_site_fract_y
_atom_site_fract_z
_atom_site_occupancy
Li1 Li 0.000 0.000 0.000 1
Cd1 Cd 0.000 0.000 0.547 1
Cd2 Cd 0.500 0.500 0.252 1
Ir1 Ir 0.500 0.500 0.772 1
# - raw total energy (eV/atom) = -3.146
# - M_tot (μB per cell) = 0.22
# - formation enthalpy at 0 K (meV per atom) = 6
# - N(E_F) (states/eV/cell) = 2.364



(6)
# Nd11Tm9Sc4 PBE relaxed
data_Nd11Tm9Sc4
_chemical_formula_sum 'Nd22 Tm18 Sc8'
_space_group_name_H-M_alt 'C m m m'
_space_group_IT_number 65
_space_group_name_Hall '-C 2 2'
_cell_length_a 16.744
_cell_length_b 25.336
_cell_length_c 3.588
_cell_angle_alpha 90.00
_cell_angle_beta 90.00
_cell_angle_gamma 90.00
loop_
_atom_site_label
_atom_site_type_symbol
_atom_site_fract_x
_atom_site_fract_y
_atom_site_fract_z
_atom_site_occupancy
Nd1 Nd 0.000 0.000 0.000 1
Nd2 Nd 0.000 0.159 0.000 1
Nd3 Nd 0.000 0.370 0.000 1
Nd4 Nd 0.202 0.500 0.000 1
Nd5 Nd 0.226 0.180 0.000 1
Tm1 Tm 0.000 0.500 0.500 1
Tm2 Tm 0.102 0.269 0.500 1
Tm3 Tm 0.145 0.072 0.500 1
Sc1 Sc 0.156 0.398 0.500 1
# - raw total energy (eV/atom) = -4.868
# - M_tot (μB per cell) = 0.01
# - formation enthalpy at 0 K (meV per atom) = 50
# - N(E_F) (states/eV/cell) = 60.577



(7)
# LaNd2HoTm PBE relaxed
data_LaNd2HoTm
_chemical_formula_sum 'La2 Nd4 Ho2 Tm2'
_space_group_name_H-M_alt 'P 1 2/c 1'
_space_group_IT_number 13
_cell_length_a 9.194
_cell_length_b 6.404
_cell_length_c 6.405
_cell_angle_alpha 90.00
_cell_angle_beta 110.25
_cell_angle_gamma 90.00
loop_
_space_group_symop_operation_xyz
'x,y,z'
'-x,-y,-z'
'-x,y,-z+1/2'
'x,-y,z+1/2'
loop_
_atom_site_label
_atom_site_type_symbol
_atom_site_fract_x
_atom_site_fract_y
_atom_site_fract_z
_atom_site_occupancy
La1 La 0.000 0.000 0.000 1
Nd1 Nd 0.318 0.315 0.159 1
Ho1 Ho 0.500 0.167 0.750 1
Tm1 Tm 0.000 0.500 0.250 1
# - raw total energy (eV/atom) = -4.428
# - M_tot (μB per cell) = 0.00
# - formation enthalpy at 0 K (meV per atom) = 275
# - N(E_F) (states/eV/cell) = 13.475



(8)
# MgScNb PBE relaxed
data_MgScNb
_chemical_formula_sum 'Mg2 Sc2 Nb2'
_space_group_name_H-M_alt 'P 1'
_space_group_IT_number 1
_cell_length_a 3.052
_cell_length_b 6.138
_cell_length_c 7.102
_cell_angle_alpha 102.15
_cell_angle_beta 90.15
_cell_angle_gamma 104.37
loop_
_space_group_symop_operation_xyz
'x,y,z'
loop_
_atom_site_label
_atom_site_type_symbol
_atom_site_fract_x
_atom_site_fract_y
_atom_site_fract_z
_atom_site_occupancy
Mg1 Mg 0.000 0.000 0.000 1
Mg2 Mg 0.065 0.124 0.620 1
Sc1 Sc 0.680 0.358 0.339 1
Sc2 Sc 0.748 0.489 0.946 1
Nb1 Nb 0.340 0.679 0.654 1
Nb2 Nb 0.398 0.786 0.301 1
# - raw total energy (eV/atom) = -5.902
# - M_tot (μB per cell) = 0.00
# - formation enthalpy at 0 K (meV per atom) = 97
# - offset from the most stable computed form (meV per atom) = 122
# - N(E_F) (states/eV/cell) = 5.002